(1)
Material: La2Pm6YHo
Method: DFT, GGA-PBE
State: optimized geometry

POSCAR file:
```
La2Pm6YHo
1.0
4.5764 -7.6643 0.0000
4.5764 7.6643 0.0000
-1.6990 0.0000 9.8821
La Pm Y Ho
4 12 2 2
direct
0.1941 0.2967 0.0407
0.2967 0.1941 0.5407
0.7033 0.8059 0.4593
0.8059 0.7033 0.9593
0.0205 0.5808 0.1895
0.1252 0.7440 0.5557
0.2560 0.8748 0.9443
0.2923 0.4972 0.3789
0.4192 0.9795 0.3105
0.4972 0.2923 0.8789
0.5028 0.7077 0.1211
0.5808 0.0205 0.6895
0.7077 0.5028 0.6211
0.7440 0.1252 0.0557
0.8748 0.2560 0.4443
0.9795 0.4192 0.8105
0.0141 0.9859 0.2500
0.9859 0.0141 0.7500
0.4053 0.5947 0.7500
0.5947 0.4053 0.2500
```

Output
Fermi-level density of states: 30.42 states/eV per cell
Calculated formation energy: 113 meV per atom

***

(2)
Material: LaPmHoZn
Method: DFT, GGA-PBE
State: optimized geometry

POSCAR file:
```
LaPmHoZn
1.0
3.6396 0.0000 0.0000
0.0000 3.6396 0.0000
0.0000 0.0000 8.8134
La Pm Ho Zn
1 1 1 1
direct
0.0000 0.0000 0.0000
0.5000 0.5000 0.6946
0.5000 0.5000 0.2930
0.0000 0.0000 0.4811
```

Output
Fermi-level density of states: 5.72 states/eV per cell
Calculated formation energy: -150 meV per atom

***

(3)
Material: LaPmHoZn
Method: DFT, GGA-PBE
State: optimized geometry

POSCAR file:
```
LaPmHoZn
1.0
7.7402 0.0000 0.0000
0.0000 7.7402 0.0000
0.0000 0.0000 7.7402
La Pm Ho Zn
4 4 4 4
direct
0.0000 0.0000 0.0000
0.0000 0.5000 0.5000
0.5000 0.0000 0.5000
0.5000 0.5000 0.0000
0.0000 0.0000 0.5000
0.0000 0.5000 0.0000
0.5000 0.0000 0.0000
0.5000 0.5000 0.5000
0.2500 0.2500 0.2500
0.2500 0.7500 0.7500
0.7500 0.2500 0.7500
0.7500 0.7500 0.2500
0.2500 0.2500 0.7500
0.2500 0.7500 0.2500
0.7500 0.2500 0.2500
0.7500 0.7500 0.7500
```

Output
Fermi-level density of states: 21.34 states/eV per cell
Calculated formation energy: 17 meV per atom

***

(4)
Material: LaPr8Ho2
Method: DFT, GGA-PBE
State: optimized geometry

POSCAR file:
```
LaPr8Ho2
1.0
4.6336 -8.4348 0.0000
4.6336 8.4348 0.0000
-3.4401 0.0000 5.0402
La Pr Ho
1 8 2
direct
0.0000 0.0000 0.0000
0.0988 0.3404 0.6849
0.2054 0.7946 0.0000
0.3404 0.0988 0.6849
0.4227 0.4227 0.2035
0.5773 0.5773 0.7965
0.6596 0.9012 0.3151
0.7946 0.2054 0.0000
0.9012 0.6596 0.3151
0.3107 0.6893 0.5000
0.6893 0.3107 0.5000
```

Output
Fermi-level density of states: 16.70 states/eV per cell
Calculated formation energy: 128 meV per atom